Record 1
! PmDyInCu PBE optimized geometry; values from VASP
&SYSTEM
  ibrav = 0, nat = 4, ntyp = 4
/
ATOMIC_SPECIES
Pm 145.00 Pm.upf
Dy 162.50 Dy.upf
In 114.82 In.upf
Cu 63.55 Cu.upf
CELL_PARAMETERS angstrom
0.000 3.699 3.699
3.699 0.000 3.699
3.699 3.699 0.000
ATOMIC_POSITIONS crystal
Pm 0.000 0.000 0.000
Dy 0.500 0.500 0.500
In 0.250 0.250 0.250
Cu 0.750 0.750 0.750
! * ΔE_f: -110.5 kJ/mol of formula units

---

Record 2
! PrDyInCu PBE optimized geometry; values from VASP
&SYSTEM
  ibrav = 0, nat = 4, ntyp = 4
/
ATOMIC_SPECIES
Pr 140.91 Pr.upf
Dy 162.50 Dy.upf
In 114.82 In.upf
Cu 63.55 Cu.upf
CELL_PARAMETERS angstrom
0.000 3.727 3.727
3.727 0.000 3.727
3.727 3.727 0.000
ATOMIC_POSITIONS crystal
Pr 0.000 0.000 0.000
Dy 0.500 0.500 0.500
In 0.750 0.750 0.750
Cu 0.250 0.250 0.250
! * ΔE_f: -104.1 kJ/mol of formula units